Entry 1:
LiCoMo3: optimized geometry, PBEsol.

The value obtained for the magnetization is 0.83 μB per cell. Its formation energy is 139.57 kJ/mol of atoms. For the total energy, the calculation gives -0.27764 Ha/atom.

The space group is Pm-3m (No. 221) and the conventional cell measures 4.082, 4.082 and 4.082 Å, with angles of 90.00, 90.00 and 90.00 degrees. The inequivalent atoms are Li at (0.000, 0.000, 0.000), Co at (0.500, 0.500, 0.500) and Mo at (0.000, 0.000, 0.500).

Entry 2:
Li2CoMo: optimized geometry, PBEsol.

The value obtained for the energy above the most stable polymorph in this dataset is 40 kJ/mol of formula units. The value obtained for the magnetization is 1.47 μB per cell. Its formation energy is 39.58 kJ/mol of atoms. For the total energy, the calculation gives -0.20026 Ha/atom.

The space group is P4/mmm (No. 123) and the conventional cell measures 2.457, 2.457 and 8.758 Å, with angles of 90.00, 90.00 and 90.00 degrees. The inequivalent atoms are Li at (0.000, 0.000, 0.229), Co at (0.500, 0.500, 0.000) and Mo at (0.500, 0.500, 0.500).

Entry 3:
Li2CoMo: optimized geometry, PBEsol.

The value obtained for the energy above the most stable polymorph in this dataset is 0 kJ/mol of formula units. The value obtained for the magnetization is 0.01 μB per cell. Its formation energy is 29.55 kJ/mol of atoms. For the total energy, the calculation gives -0.20408 Ha/atom.

The space group is Pm (No. 6) and the conventional cell measures 2.546, 3.815 and 5.595 Å, with angles of 90.00, 101.23 and 90.00 degrees. The inequivalent atoms are Li at (0.000, 0.000, 0.000), Li at (0.475, 0.500, 0.781), Co at (0.147, 0.000, 0.488) and Mo at (0.605, 0.500, 0.322).

Entry 4:
Li2CoMo: optimized geometry, PBEsol.

The value obtained for the energy above the most stable polymorph in this dataset is 17 kJ/mol of formula units. The value obtained for the magnetization is 0.56 μB per cell. Its formation energy is 33.71 kJ/mol of atoms. For the total energy, the calculation gives -0.20250 Ha/atom.

The space group is P2/m (No. 10) and the conventional cell measures 2.501, 4.649 and 4.443 Å, with angles of 90.00, 94.82 and 90.00 degrees. The inequivalent atoms are Li at (0.187, 0.000, 0.258), Co at (0.000, 0.500, 0.500) and Mo at (0.500, 0.500, 0.000).

Entry 5:
LiCoMo2: optimized geometry, PBEsol.

The value obtained for the energy above the most stable polymorph in this dataset is 0 kJ/mol of formula units. The value obtained for the magnetization is 0.00 μB per cell. Its formation energy is 30.87 kJ/mol of atoms. For the total energy, the calculation gives -0.29363 Ha/atom.

The space group is P2/m (No. 10) and the conventional cell measures 2.593, 3.928 and 5.133 Å, with angles of 90.00, 100.83 and 90.00 degrees. The inequivalent atoms are Li at (0.000, 0.000, 0.000), Co at (0.000, 0.000, 0.500) and Mo at (0.496, 0.500, 0.250).

Entry 6:
LiCoMo2: optimized geometry, PBEsol.

The value obtained for the energy above the most stable polymorph in this dataset is 1 kJ/mol of formula units. The value obtained for the magnetization is 0.00 μB per cell. Its formation energy is 31.13 kJ/mol of atoms. For the total energy, the calculation gives -0.29353 Ha/atom.

The space group is Cmmm (No. 65) and the conventional cell measures 3.382, 3.869 and 8.447 Å, with angles of 90.00, 90.00 and 90.00 degrees. The inequivalent atoms are Li at (0.000, 0.000, 0.000), Co at (0.000, 0.000, 0.500) and Mo at (0.000, 0.500, 0.279).

Entry 7:
LiCoMo2: optimized geometry, PBEsol.

The value obtained for the energy above the most stable polymorph in this dataset is 18 kJ/mol of formula units. The value obtained for the magnetization is 3.06 μB per cell. Its formation energy is 35.44 kJ/mol of atoms. For the total energy, the calculation gives -0.29188 Ha/atom.

The space group is R-3m (No. 166, hexagonal axes) and the conventional cell measures 2.6555, 2.6555 and 27.6744 Å, with angles of 90.00, 90.00 and 120.00 degrees. The inequivalent atoms are Li at (0.0000, 0.0000, 0.0000), Co at (0.0000, 0.0000, 0.5000) and Mo at (0.0000, 0.0000, 0.2422).

Entry 8:
LiCoMo2: optimized geometry, PBEsol.

The value obtained for the energy above the most stable polymorph in this dataset is 25 kJ/mol of formula units. The value obtained for the magnetization is 1.55 μB per cell. Its formation energy is 37.15 kJ/mol of atoms. For the total energy, the calculation gives -0.29123 Ha/atom.

The space group is I4/mmm (No. 139) and the conventional cell measures 3.627, 3.627 and 7.850 Å, with angles of 90.00, 90.00 and 90.00 degrees. The inequivalent atoms are Li at (0.000, 0.000, 0.000), Co at (0.000, 0.000, 0.500) and Mo at (0.000, 0.500, 0.250).